[1]
This record from Alexandria via LeMat-Bulk describes ScCdIn2 at its PBEsol-relaxed geometry. The functional is SCAN.

abc: 6.282 8.495 3.288
angles: 90.00 90.00 90.00
Space group Cmmm (No. 65)
Unique sites:
Sc 0.000 0.000 0.000 (multiplicity 2)
Cd 0.000 0.500 0.000 (multiplicity 2)
In 0.250 0.250 0.500 (multiplicity 4)

## Properties
**Formation energy from the elements**: -0.307 eV per atom
**DOS at the Fermi energy**: 3.06 states/eV per cell
**Total moment**: 0.00 Bohr magnetons per cell
**E_tot**: -28.163 eV per atom

[2]
This record from Alexandria via LeMat-Bulk describes ScCdIn2 at its PBEsol-relaxed geometry. The functional is SCAN.

abc: 4.424 4.424 4.322
angles: 90.00 90.00 90.00
Space group P4/mmm (No. 123)
Unique sites:
Sc 0.000 0.000 0.000 (multiplicity 1)
Cd 0.500 0.500 0.000 (multiplicity 1)
In 0.000 0.500 0.500 (multiplicity 2)

## Properties
**Formation energy from the elements**: -0.428 eV per atom
**DOS at the Fermi energy**: 1.13 states/eV per cell
**Total moment**: 0.00 Bohr magnetons per cell
**E_tot**: -28.284 eV per atom

[3]
This record from Alexandria via LeMat-Bulk describes ScCdIn2 at its PBEsol-relaxed geometry. The functional is SCAN.

abc: 3.2714 3.2714 29.4920
angles: 90.00 90.00 120.00
Space group R-3m (No. 166, hexagonal axes)
Unique sites:
Sc 0.0000 0.0000 0.0000 (multiplicity 3)
Cd 0.0000 0.0000 0.5000 (multiplicity 3)
In 0.0000 0.0000 0.2504 (multiplicity 6)

## Properties
**Formation energy from the elements**: -0.123 eV per atom
**DOS at the Fermi energy**: 11.16 states/eV per cell
**Total moment**: 0.04 Bohr magnetons per cell
**E_tot**: -27.979 eV per atom

[4]
This record from Alexandria via LeMat-Bulk describes Sc2CdIn at its PBEsol-relaxed geometry. The functional is SCAN.

abc: 3.196 4.122 6.437
angles: 90.00 90.00 90.00
Space group Pmmm (No. 47)
Unique sites:
Sc 0.000 0.000 0.249 (multiplicity 2)
Cd 0.500 0.500 0.000 (multiplicity 1)
In 0.500 0.500 0.500 (multiplicity 1)

## Properties
**Formation energy from the elements**: -0.496 eV per atom
**DOS at the Fermi energy**: 3.28 states/eV per cell
**Energy above the lowest structure with this stoichiometry**: 0.0310 eV per atom
**Total moment**: 0.43 Bohr magnetons per cell
**E_tot**: -23.565 eV per atom

[5]
This record from Alexandria via LeMat-Bulk describes Cd3In2Se6 at its PBEsol-relaxed geometry. The functional is SCAN.

abc: 7.2771 7.2771 20.4275
angles: 90.00 90.00 120.00
Space group R3 (No. 146, hexagonal axes)
Unique sites:
Cd 0.0292 0.3607 0.0000 (multiplicity 9)
In 0.0000 0.0000 0.1677 (multiplicity 3)
In 0.0000 0.0000 0.8354 (multiplicity 3)
Se 0.0000 0.0000 0.0401 (multiplicity 3)
Se 0.0000 0.0000 0.3958 (multiplicity 3)
Se 0.0000 0.0000 0.7075 (multiplicity 3)
Se 0.0215 0.3536 0.2048 (multiplicity 9)

## Properties
**Total moment**: 0.00 Bohr magnetons per cell
**E_tot**: -25.975 eV per atom

[6]
This record from Alexandria via LeMat-Bulk describes CdInSe2 at its PBEsol-relaxed geometry. The functional is SCAN.

abc: 3.861 3.750 6.952
angles: 90.00 90.20 90.00
Space group P2/m (No. 10)
Unique sites:
Cd 0.000 0.000 0.000 (multiplicity 1)
In 0.500 0.000 0.500 (multiplicity 1)
Se 0.177 0.500 0.740 (multiplicity 2)

## Properties
**DOS at the Fermi energy**: 0.72 states/eV per cell
**Total moment**: 0.00 Bohr magnetons per cell
**E_tot**: -26.267 eV per atom

[7]
This record from Alexandria via LeMat-Bulk describes CdInSe2 at its PBEsol-relaxed geometry. The functional is SCAN.

abc: 4.034 4.034 5.694
angles: 90.00 90.00 90.00
Space group P4/mmm (No. 123)
Unique sites:
Cd 0.000 0.000 0.000 (multiplicity 1)
In 0.500 0.500 0.500 (multiplicity 1)
Se 0.000 0.000 0.500 (multiplicity 1)
Se 0.500 0.500 0.000 (multiplicity 1)

## Properties
**DOS at the Fermi energy**: 0.89 states/eV per cell
**Total moment**: 0.00 Bohr magnetons per cell
**E_tot**: -26.534 eV per atom

[8]
This record from Alexandria via LeMat-Bulk describes CdInSe2 at its PBEsol-relaxed geometry. The functional is SCAN.

abc: 6.974 4.027 6.993
angles: 90.00 109.29 90.00
Space group C2/m (No. 12)
Unique sites:
Cd 0.000 0.000 0.000 (multiplicity 2)
In 0.000 0.500 0.500 (multiplicity 2)
Se 0.248 0.500 0.243 (multiplicity 4)

## Properties
**DOS at the Fermi energy**: 1.48 states/eV per cell
**Total moment**: 0.00 Bohr magnetons per cell
**E_tot**: -26.534 eV per atom

> Among the records above, which one has the highest E_tot?

Sc2CdIn

> The highest E_tot belongs to which entry?

Sc2CdIn

> Among the records above, which one has the highest total moment?

Sc2CdIn